Entry 1:
The following is a PBE calculation of a geometry-optimized FeCu2Os structure, from Alexandria via LeMat-Bulk.

Total magnetization in μB/f.u.: 2.6
Volume in Å³ per cell: 50.5
DFT formation energy in eV per atom: 0.235
VASP energy in eV/cell: -26.9

Cell lengths 4.612, 4.612, 4.515 Å; angles 99.20, 99.20, 32.24 degrees
Sites, in units of the cell vectors:
Fe 0.000 0.000 0.000
Cu 0.250 0.250 0.753
Cu 0.750 0.750 0.247
Os 0.500 0.500 0.500

***

Entry 2:
The following is a PBE calculation of a geometry-optimized FeCu2Os structure, from Alexandria via LeMat-Bulk.

Total magnetization in μB/f.u.: 2.6
Volume in Å³ per cell: 51.4
DFT formation energy in eV per atom: 0.252
VASP energy in eV/cell: -26.9

Cell lengths 8.795, 8.795, 8.795 Å; angles 17.11, 17.11, 17.11 degrees
Sites, in units of the cell vectors:
Fe 0.000 0.000 0.000
Cu 0.252 0.252 0.252
Cu 0.748 0.748 0.748
Os 0.500 0.500 0.500

***

Entry 3:
The following is a PBE calculation of a geometry-optimized Fe2CuOs structure, from Alexandria via LeMat-Bulk.

Total magnetization in μB/f.u.: 3.9
Volume in Å³ per cell: 49.5
DFT formation energy in eV per atom: 0.197
VASP energy in eV/cell: -31.5

Cell lengths 2.605, 3.713, 5.114 Å; angles 90.00, 90.00, 90.00 degrees
Sites, in units of the cell vectors:
Fe 0.000 0.000 0.246
Fe 0.000 0.000 0.754
Cu 0.500 0.500 0.500
Os 0.500 0.500 0.000

***

Entry 4:
The following is a PBE calculation of a geometry-optimized TaFeCuOs structure, from Alexandria via LeMat-Bulk.

Total magnetization in μB/f.u.: 2.0
Volume in Å³ per cell: 56.7
DFT formation energy in eV per atom: 0.073
VASP energy in eV/cell: -35.4

Cell lengths 4.311, 4.311, 4.311 Å; angles 60.00, 60.00, 60.00 degrees
Sites, in units of the cell vectors:
Ta 0.000 0.000 0.000
Fe 0.750 0.750 0.750
Cu 0.500 0.500 0.500
Os 0.250 0.250 0.250

***

Entry 5:
The following is a PBE calculation of a geometry-optimized FeCuOsW structure, from Alexandria via LeMat-Bulk.

Total magnetization in μB/f.u.: 0.7
Volume in Å³ per cell: 54.0
DFT formation energy in eV per atom: 0.209
VASP energy in eV/cell: -35.9

Cell lengths 4.242, 4.242, 4.242 Å; angles 60.00, 60.00, 60.00 degrees
Sites, in units of the cell vectors:
Fe 0.000 0.000 0.000
Cu 0.250 0.250 0.250
Os 0.500 0.500 0.500
W 0.750 0.750 0.750

***

Entry 6:
The following is a PBE calculation of a geometry-optimized Fe2CuP2 structure, from Alexandria via LeMat-Bulk.

Total magnetization in μB/f.u.: 0.0
Volume in Å³ per cell: 110.8
DFT formation energy in eV per atom: -0.217
VASP energy in eV/cell: -65.8

Cell lengths 6.507, 6.507, 2.617 Å; angles 90.00, 90.00, 90.00 degrees
Sites, in units of the cell vectors:
Fe 0.143 0.357 0.000
Fe 0.357 0.857 0.000
Fe 0.643 0.143 0.000
Fe 0.857 0.643 0.000
Cu 0.000 0.000 0.500
Cu 0.500 0.500 0.500
P 0.151 0.651 0.500
P 0.349 0.151 0.500
P 0.651 0.849 0.500
P 0.849 0.349 0.500

***

Entry 7:
The following is a PBE calculation of a geometry-optimized FeCu2P structure, from Alexandria via LeMat-Bulk.

Total magnetization in μB/f.u.: 2.6
Volume in Å³ per cell: 47.6
DFT formation energy in eV per atom: 0.047
VASP energy in eV/cell: -21.9

Cell lengths 3.514, 3.514, 3.857 Å; angles 90.00, 90.00, 90.00 degrees
Sites, in units of the cell vectors:
Fe 0.000 0.000 0.000
Cu 0.000 0.500 0.500
Cu 0.500 0.000 0.500
P 0.500 0.500 0.000

***

Entry 8:
The following is a PBE calculation of a geometry-optimized FeCu2P structure, from Alexandria via LeMat-Bulk.

Total magnetization in μB/f.u.: 2.4
Volume in Å³ per cell: 48.8
DFT formation energy in eV per atom: 0.092
VASP energy in eV/cell: -21.7

Cell lengths 2.635, 4.069, 4.726 Å; angles 90.00, 105.60, 90.00 degrees
Sites, in units of the cell vectors:
Fe 0.000 0.000 0.000
Cu 0.338 0.500 0.742
Cu 0.662 0.500 0.258
P 0.000 0.000 0.500